[1]
Below is an optimized crystal structure of GaPdRuO6, with properties calculated at the PBE level.

abc: 5.0792 5.0792 8.6470
angles: 90.00 90.00 120.00
Space group P-31c (No. 163)
One atom of each set of equivalent atoms:
Ga: 0.3333 0.6667 0.2500 (multiplicity 2)
Pd: 0.0000 0.0000 0.0000 (multiplicity 2)
Ru: 0.3333 0.6667 0.7500 (multiplicity 2)
O: 0.0047 0.3538 0.6273 (multiplicity 12)



[2]
Below is an optimized crystal structure of SrZr2Cr, with properties calculated at the PBE level.

abc: 5.425 3.288 5.788
angles: 90.00 103.96 90.00
Space group P2/m (No. 10)
One atom of each set of equivalent atoms:
Sr: 0.000 0.000 0.000 (multiplicity 1)
Zr: 0.000 0.500 0.500 (multiplicity 1)
Zr: 0.500 0.000 0.500 (multiplicity 1)
Cr: 0.500 0.500 0.000 (multiplicity 1)

E_form   0.7075 eV/atom
Offset from the most stable computed form   0.3701 eV per atom



[3]
Below is an optimized crystal structure of Cs2LiPSe, with properties calculated at the PBE level.

abc: 6.537 6.537 4.546
angles: 90.00 90.00 90.00
Space group P4/mmm (No. 123)
One atom of each set of equivalent atoms:
Cs: 0.000 0.500 0.000 (multiplicity 2)
Li: 0.000 0.000 0.000 (multiplicity 1)
P: 0.000 0.000 0.500 (multiplicity 1)
Se: 0.500 0.500 0.500 (multiplicity 1)



[4]
Below is an optimized crystal structure of SiHgAs2, with properties calculated at the PBE level.

abc: 2.798 2.798 10.984
angles: 90.00 90.00 90.00
Space group P4mm (No. 99)
One atom of each set of equivalent atoms:
Si: 0.000 0.000 0.000 (multiplicity 1)
Hg: 0.500 0.500 0.726 (multiplicity 1)
As: 0.000 0.000 0.443 (multiplicity 1)
As: 0.500 0.500 0.185 (multiplicity 1)



[5]
Below is an optimized crystal structure of SiPb4, with properties calculated at the PBE level.

abc: 6.844 6.844 6.844
angles: 90.00 90.00 90.00
Space group Im-3m (No. 229)
One atom of each set of equivalent atoms:
Si: 0.000 0.000 0.000 (multiplicity 2)
Pb: 0.250 0.250 0.250 (multiplicity 8)

Offset from the most stable computed form   0.1232 eV per atom



[6]
Below is an optimized crystal structure of Bi3PbO7, with properties calculated at the PBE level.

abc: 7.967 11.021 7.877
angles: 90.00 90.00 90.00
Space group C222_1 (No. 20)
One atom of each set of equivalent atoms:
Bi: 0.038 0.000 0.000 (multiplicity 4)
Bi: 0.234 0.263 0.762 (multiplicity 8)
Pb: 0.006 0.500 0.000 (multiplicity 4)
O: 0.000 0.136 0.250 (multiplicity 4)
O: 0.000 0.146 0.750 (multiplicity 4)
O: 0.000 0.413 0.750 (multiplicity 4)
O: 0.194 0.362 0.040 (multiplicity 8)
O: 0.219 0.382 0.459 (multiplicity 8)



Number 1: volume 97 Å³/f.u., DOS at the Fermi energy 0.672 states/eV/atom, total energy -0.448 Ry per atom. Number 2: volume 100 Å³/f.u., DOS at the Fermi energy 1.366 states/eV/atom, total energy -0.470 Ry per atom. Number 3: volume 194 Å³/f.u., DOS at the Fermi energy 0.515 states/eV/atom, total energy -0.200 Ry per atom. Number 4: volume 86 Å³/f.u., DOS at the Fermi energy 0.289 states/eV/atom, total energy -0.241 Ry per atom. Number 5: volume 160 Å³/f.u., DOS at the Fermi energy 0.351 states/eV/atom, total energy -0.274 Ry per atom. Number 6: volume 173 Å³/f.u., DOS at the Fermi energy 0.498 states/eV/atom, total energy -0.411 Ry per atom.